1.
{"formula": "KNa2MnBr6", "functional": "PBE-GGA", "state": "optimized geometry", "lattice": [[7.326, 0.000, 0.000], [3.250, 6.590, 0.000], [3.585, 1.741, 6.692]], "species": ["K", "Na", "Na", "Mn", "Br", "Br", "Br", "Br", "Br", "Br"], "frac_coords": [[0.000, 0.000, 0.000], [0.278, 0.275, 0.144], [0.815, 0.814, 0.589], [0.480, 0.482, 0.559], [0.117, 0.438, 0.778], [0.236, 0.858, 0.327], [0.433, 0.667, 0.788], [0.549, 0.267, 0.347], [0.655, 0.117, 0.808], [0.822, 0.567, 0.339]], "magnetic_moment_mub_per_cell": 4.00, "vol_a3_per_cell": 323.1, "crystal_system": "triclinic", "formation_energy_uncorrected_mev_per_atom": -1195}


2.
{"formula": "KNdMnBr6", "functional": "PBE-GGA", "state": "optimized geometry", "lattice": [[7.288, 0.000, 0.000], [-3.644, 6.312, 0.000], [0.000, 0.000, 14.565]], "species": ["K", "K", "Nd", "Nd", "Mn", "Mn", "Br", "Br", "Br", "Br", "Br", "Br", "Br", "Br", "Br", "Br", "Br", "Br"], "frac_coords": [[0.000, 0.000, 0.000], [0.000, 0.000, 0.500], [0.333, 0.667, 0.250], [0.667, 0.333, 0.750], [0.333, 0.667, 0.750], [0.667, 0.333, 0.250], [0.020, 0.380, 0.640], [0.020, 0.641, 0.860], [0.359, 0.380, 0.860], [0.359, 0.980, 0.640], [0.380, 0.020, 0.140], [0.380, 0.359, 0.360], [0.620, 0.641, 0.640], [0.620, 0.980, 0.860], [0.641, 0.020, 0.360], [0.641, 0.620, 0.140], [0.980, 0.359, 0.140], [0.980, 0.620, 0.360]], "magnetic_moment_mub_per_cell": 10.00, "vol_a3_per_cell": 670.0, "crystal_system": "trigonal", "formation_energy_uncorrected_mev_per_atom": -1491}


3.
{"formula": "K2MnNiBr6", "functional": "PBE-GGA", "state": "optimized geometry", "lattice": [[3.715, 2.145, 5.945], [-3.715, 2.145, 5.945], [0.000, -4.290, 5.945]], "species": ["K", "K", "Mn", "Ni", "Br", "Br", "Br", "Br", "Br", "Br"], "frac_coords": [[0.249, 0.249, 0.249], [0.751, 0.751, 0.751], [0.500, 0.500, 0.500], [0.000, 0.000, 0.000], [0.190, 0.756, 0.301], [0.244, 0.699, 0.810], [0.301, 0.190, 0.756], [0.699, 0.810, 0.244], [0.756, 0.301, 0.190], [0.810, 0.244, 0.699]], "magnetic_moment_mub_per_cell": 6.55, "vol_a3_per_cell": 284.3, "crystal_system": "trigonal", "formation_energy_uncorrected_mev_per_atom": -957}